First-principles (PBEsol) data for a geometry-optimized RbHO structure, as listed in Alexandria via LeMat-Bulk.

```
RbHO
1.0
4.1583 0.0000 0.0000
0.0000 4.0956 0.0000
-1.5158 0.0000 5.7343
Rb H O
2 2 2
Direct
0.1732 0.2500 0.2898
0.8268 0.7500 0.7102
0.4779 0.2500 0.9272
0.5221 0.7500 0.0728
0.3286 0.2500 0.7704
0.6714 0.7500 0.2296
```

Values from the calculation:
As for the space group: P2_1/m, No. 11. The value obtained for the spin magnetization is 0.00 μB/cell. As for the raw total energy: -26.87 eV/cell.

First-principles (PBEsol) data for a geometry-optimized InFePb2 structure, as listed in Alexandria via LeMat-Bulk.

```
InFePb2
1.0
7.2272 0.0000 0.0000
0.0000 7.2272 0.0000
0.0000 0.0000 7.2272
In Fe Pb
4 4 8
Direct
0.0000 0.0000 0.0000
0.0000 0.5000 0.5000
0.5000 0.0000 0.5000
0.5000 0.5000 0.0000
0.0000 0.0000 0.5000
0.0000 0.5000 0.0000
0.5000 0.0000 0.0000
0.5000 0.5000 0.5000
0.2500 0.2500 0.2500
0.2500 0.2500 0.7500
0.2500 0.7500 0.2500
0.2500 0.7500 0.7500
0.7500 0.2500 0.2500
0.7500 0.2500 0.7500
0.7500 0.7500 0.2500
0.7500 0.7500 0.7500
```

Values from the calculation:
The relative energy among the computed polymorphs comes out at 28.41 kJ/mol of atoms. The formation energy comes out at 574 meV per atom. As for the space group: Fm-3m, No. 225. The value obtained for the spin magnetization is 10.72 μB/cell. As for the raw total energy: -70.60 eV/cell.

First-principles (PBEsol) data for a geometry-optimized Y2NbZnSi structure, as listed in Alexandria via LeMat-Bulk.

```
Y2NbZnSi
1.0
5.2883 0.0000 0.0000
0.0000 5.2883 0.0000
0.0000 0.0000 4.8423
Y Nb Zn Si
2 1 1 1
Direct
0.0000 0.5000 0.0000
0.5000 0.0000 0.0000
0.0000 0.0000 0.0000
0.5000 0.5000 0.5000
0.0000 0.0000 0.5000
```

Values from the calculation:
For the uncorrected formation energy, the calculation gives 0.54 eV/atom. As for the space group: P4/mmm, No. 123. The value obtained for the spin magnetization is 0.00 μB/cell. As for the raw total energy: -29.07 eV/cell.

First-principles (PBEsol) data for a geometry-optimized Sr2InCu structure, as listed in Alexandria via LeMat-Bulk.

```
Sr2InCu
1.0
5.5300 0.0000 0.0000
0.0000 5.5300 0.0000
0.0000 0.0000 3.7945
Sr In Cu
2 1 1
Direct
0.0000 0.5000 0.0000
0.5000 0.0000 0.0000
0.0000 0.0000 0.5000
0.5000 0.5000 0.5000
```

Values from the calculation:
The formation energy comes out at -127 meV per atom. As for the space group: P4/mmm, No. 123. The value obtained for the spin magnetization is 0.00 μB/cell. As for the raw total energy: -11.51 eV/cell.

First-principles (PBEsol) data for a geometry-optimized SrY2Cd structure, as listed in Alexandria via LeMat-Bulk.

```
SrY2Cd
1.0
3.6851 0.0000 0.0000
0.0000 3.6851 0.0000
0.0000 0.0000 9.2827
Sr Y Cd
1 2 1
Direct
0.0000 0.0000 0.0000
0.0000 0.0000 0.5656
0.5000 0.5000 0.3195
0.5000 0.5000 0.7566
```

Values from the calculation:
The formation energy comes out at -100 meV per atom. As for the space group: P4mm, No. 99. The value obtained for the spin magnetization is 0.00 μB/cell. As for the raw total energy: -17.08 eV/cell.

First-principles (PBEsol) data for a geometry-optimized TiP structure, as listed in Alexandria via LeMat-Bulk.

```
TiP
1.0
3.4313 0.0000 0.0000
-1.7156 2.9716 0.0000
0.0000 0.0000 5.9962
Ti P
2 2
Direct
0.0000 0.0000 0.0000
0.0000 0.0000 0.5000
0.3333 0.6667 0.2500
0.6667 0.3333 0.7500
```

Values from the calculation:
The formation energy comes out at -1184 meV per atom. As for the space group: P6_3/mmc, No. 194. The value obtained for the spin magnetization is 0.00 μB/cell. As for the raw total energy: -32.96 eV/cell.

First-principles (PBEsol) data for a geometry-optimized CsGe3P structure, as listed in Alexandria via LeMat-Bulk.

```
CsGe3P
1.0
5.5099 0.0000 0.0000
0.0000 5.5099 0.0000
0.0000 0.0000 5.5099
Cs Ge P
1 3 1
Direct
0.0000 0.0000 0.0000
0.0000 0.0000 0.5000
0.0000 0.5000 0.0000
0.5000 0.0000 0.0000
0.5000 0.5000 0.5000
```

Values from the calculation:
The formation energy comes out at 2194 meV per atom. As for the space group: Pm-3m, No. 221. The value obtained for the spin magnetization is 0.00 μB/cell. As for the raw total energy: -10.58 eV/cell.

First-principles (PBEsol) data for a geometry-optimized LaW2Cl structure, as listed in Alexandria via LeMat-Bulk.

```
LaW2Cl
1.0
7.9995 0.0000 0.0000
0.0000 3.1236 0.0000
-2.3351 0.0000 7.1548
La W Cl
2 4 2
Direct
0.0000 0.0000 0.0000
0.5000 0.5000 0.0000
0.1874 0.0000 0.7308
0.4176 0.0000 0.5809
0.6874 0.5000 0.7308
0.9176 0.5000 0.5809
0.3100 0.5000 0.3005
0.8100 0.0000 0.3005
```

Values from the calculation:
The relative energy among the computed polymorphs comes out at 0.00 kJ/mol of atoms. For the uncorrected formation energy, the calculation gives 0.22 eV/atom. As for the space group: Cm, No. 8. The value obtained for the spin magnetization is 0.00 μB/cell. As for the raw total energy: -68.15 eV/cell.

First-principles (PBEsol) data for a geometry-optimized BeCuOs structure, as listed in Alexandria via LeMat-Bulk.

```
BeCuOs
1.0
2.7883 0.0000 0.0000
0.0000 4.2833 0.0000
0.0000 0.0000 11.7805
Be Cu Os
4 4 4
Direct
0.0000 0.0000 0.0000
0.0000 0.5000 0.5000
0.5000 0.0000 0.5000
0.5000 0.5000 0.0000
0.0000 0.0000 0.6514
0.0000 0.5000 0.1514
0.5000 0.0000 0.1514
0.5000 0.5000 0.6514
0.0000 0.0000 0.3413
0.0000 0.5000 0.8413
0.5000 0.0000 0.8413
0.5000 0.5000 0.3413
```

Values from the calculation:
The formation energy comes out at 212 meV per atom. As for the space group: Fmm2, No. 42. The value obtained for the spin magnetization is 0.00 μB/cell. As for the raw total energy: -79.65 eV/cell.

First-principles (PBEsol) data for a geometry-optimized Ta2RuSe structure, as listed in Alexandria via LeMat-Bulk.

```
Ta2RuSe
1.0
3.2053 0.0000 0.0000
0.0000 3.2053 0.0000
0.0000 0.0000 6.4027
Ta Ru Se
2 1 1
Direct
0.0000 0.0000 0.0000
0.5000 0.5000 0.2966
0.0000 0.0000 0.4972
0.5000 0.5000 0.7930
```

Values from the calculation:
For the uncorrected formation energy, the calculation gives -0.19 eV/atom. As for the space group: P4mm, No. 99. The value obtained for the spin magnetization is 0.00 μB/cell. As for the raw total energy: -39.89 eV/cell.

First-principles (PBEsol) data for a geometry-optimized Zr2CoAu structure, as listed in Alexandria via LeMat-Bulk.

```
Zr2CoAu
1.0
4.1246 0.0000 0.0000
0.0000 3.3819 0.0000
0.0000 0.0000 10.2235
Zr Co Au
4 2 2
Direct
0.0000 0.0000 0.0000
0.0000 0.5000 0.5000
0.5000 0.0000 0.2953
0.5000 0.5000 0.7953
0.0000 0.0000 0.7516
0.0000 0.5000 0.2516
0.5000 0.0000 0.5745
0.5000 0.5000 0.0745
```

Values from the calculation:
The relative energy among the computed polymorphs comes out at 0.00 kJ/mol of atoms. The formation energy comes out at -426 meV per atom. As for the space group: Amm2, No. 38. The value obtained for the spin magnetization is 0.00 μB/cell. As for the raw total energy: -63.09 eV/cell.

First-principles (PBEsol) data for a geometry-optimized MnP6W3O24 structure, as listed in Alexandria via LeMat-Bulk.

```
MnP6W3O24
1.0
4.3025 2.4841 7.3779
-4.3025 2.4841 7.3779
0.0000 -4.9681 7.3779
Mn P W O
1 6 3 24
Direct
0.0000 0.0000 0.0000
0.1067 0.6723 0.3930
0.1759 0.6131 0.8904
0.3930 0.1067 0.6723
0.6131 0.8904 0.1759
0.6723 0.3930 0.1067
0.8904 0.1759 0.6131
0.2845 0.2845 0.2845
0.4991 0.4991 0.4991
0.7830 0.7830 0.7830
0.0079 0.6402 0.8549
0.0798 0.1824 0.4435
0.1135 0.8330 0.2101
0.1308 0.4879 0.3888
0.1652 0.7899 0.8829
0.1824 0.4435 0.0798
0.2101 0.1135 0.8330
0.2624 0.6223 0.4598
0.3629 0.5404 0.7363
0.3888 0.1308 0.4879
0.4435 0.0798 0.1824
0.4598 0.2624 0.6223
0.4879 0.3888 0.1308
0.5404 0.7363 0.3629
0.5601 0.9196 0.7153
0.6223 0.4598 0.2624
0.6402 0.8549 0.0079
0.7153 0.5601 0.9196
0.7363 0.3629 0.5404
0.7899 0.8829 0.1652
0.8330 0.2101 0.1135
0.8549 0.0079 0.6402
0.8829 0.1652 0.7899
0.9196 0.7153 0.5601
```

Values from the calculation:
For the uncorrected formation energy, the calculation gives -2.08 eV/atom. As for the space group: R3, No. 146. The value obtained for the spin magnetization is 2.74 μB/cell. As for the raw total energy: -282.61 eV/cell.